A plane-wave DFT calculation with GGA-PBE was carried out for crystalline LiZr2Mn at its relaxed geometry.

Summary:
**DOS at the Fermi energy**: 4.79 states/eV per cell
**Formation energy from the elements**: 0.12 eV per atom
**V**: 17.102 Å³/atom
**Final energy**: -6.924 eV per atom
**Space group**: P4/mmm

Lattice parameters (Å, degrees): 4.577 4.577 3.265 90.00 90.00 89.96
Site moments in Bohr magnetons follow the coordinates.
Atoms (fractional coordinates):
1 Mn 0.000 0.500 0.500  0.99
2 Zr 0.000 0.000 0.000  -0.19
3 Zr 0.500 0.500 0.000  -0.19
4 Li 0.500 0.000 0.500  -0.01